# 1
K2Tc3Se6 GGA-PBE optimized geometry; E = -249.94 eV per cell
1.0
-8.5455 5.3604 0.5689
-8.6171 -4.0256 -3.4094
-1.9044 -4.8113 11.3857
K Se Tc
8 24 12
Cartesian
-10.5727 3.2135 -0.4969 K
-9.0502 0.4154 1.8292 K
-9.0777 -3.2033 0.2954 K
-7.5043 0.6699 5.4491 K
-11.5627 -4.1465 3.0960 K
-9.9893 -0.2733 8.2497 K
-10.0168 -3.8920 6.7159 K
-8.4943 -6.6901 9.0420 K
-10.0826 -0.5916 -1.9888 Se
-13.1202 1.0523 -1.1893 Se
-8.1615 4.5937 1.4445 Se
-3.1216 0.2559 1.8031 Se
-6.4182 -1.2989 0.8694 Se
-6.1467 1.9681 2.6408 Se
-11.9288 2.1157 2.3963 Se
-11.7092 -1.4323 1.2792 Se
-14.9803 0.3623 1.7652 Se
-9.8869 3.0558 5.1040 Se
-4.9889 -1.3634 4.3637 Se
-8.0517 -3.0416 3.7550 Se
-11.0153 -0.4350 4.7901 Se
-14.0781 -2.1132 4.1814 Se
-9.1801 -6.5324 3.4412 Se
-4.0867 -3.8389 6.7800 Se
-7.3578 -2.0443 7.2659 Se
-7.1382 -5.5923 6.1488 Se
-12.9203 -5.4447 5.9043 Se
-12.6488 -2.1777 7.6757 Se
-15.9454 -3.7325 6.7420 Se
-10.9055 -8.0703 7.1006 Se
-5.9468 -4.5289 9.7345 Se
-8.9844 -2.8850 10.5339 Se
-14.4834 -0.4686 -2.7091 Tc
-5.1312 1.0179 0.5232 Tc
-12.4140 -1.3433 -1.2976 Tc
-5.7264 -3.0978 2.7215 Tc
-12.9681 -0.0535 3.1918 Tc
-3.6537 -3.5305 4.3203 Tc
-15.4133 0.0539 4.2249 Tc
-6.0989 -3.4231 5.3533 Tc
-13.3405 -0.3788 5.8237 Tc
-6.6530 -2.1333 9.8427 Tc
-13.9358 -4.4945 8.0219 Tc
-4.5836 -3.0080 11.2542 Tc

***

# 2
KYTcSe3 GGA-PBE optimized geometry; E = -69.15 eV per cell
1.0
-6.7719 3.0490 2.5158
3.8981 -4.7989 -4.8227
-0.9015 -7.8286 7.0613
K Se Tc Y
2 6 2 2
Cartesian
-4.2992 -0.8926 2.4255 K
0.5240 -8.6859 2.3289 K
2.5251 -4.4056 -3.4108 Se
-0.8545 -3.4262 0.0563 Se
2.2053 -7.1832 -0.9054 Se
-5.9805 -2.3953 5.6598 Se
-2.9207 -6.1523 4.6981 Se
-6.3004 -5.1729 8.1652 Se
3.5208 -6.6443 -2.9529 Tc
-7.2960 -2.9342 7.7073 Tc
-1.4369 -0.8750 -1.1535 Y
-1.8876 -4.7893 2.3772 Y

***

# 3
KTmTeSe GGA-PBE optimized geometry; E = -18.39 eV per cell
1.0
-8.2716 -1.1318 -0.5069
-7.6336 0.6511 3.3558
-7.7566 3.1252 -0.1613
K Se Te Tm
1 1 1 1
Cartesian
-11.7333 1.3114 1.3327 K
-17.3623 1.9405 1.9721 Se
-6.2627 0.6999 0.7113 Te
-0.1342 0.0150 0.0152 Tm

***

# 4
K2ThSe3 GGA-PBE optimized geometry; E = -57.41 eV per cell
1.0
2.2063 -10.1492 0.0000
2.2063 10.1492 0.0000
0.0000 0.0000 12.1869
K Se Th
4 6 2
Cartesian
2.2063 -2.3928 3.0467 K
2.2063 2.3904 3.0467 K
2.2063 -2.3904 9.1402 K
2.2063 2.3928 9.1402 K
2.2063 1.9266 0.0032 Se
2.2063 -10.1462 3.0467 Se
2.2063 1.9266 6.0902 Se
2.2063 -1.9266 6.0966 Se
2.2063 10.1462 9.1402 Se
2.2063 -1.9266 12.1837 Se
0.0000 0.0000 0.0000 Th
0.0000 0.0000 6.0934 Th

***

# 5
KZrTlSe3 GGA-PBE optimized geometry; E = -57.49 eV per cell
1.0
-8.3720 -3.2988 2.7269
-0.2044 -2.2717 -3.3758
5.7214 -6.8582 4.2686
K Se Tl Zr
2 6 2 2
Cartesian
0.5975 -5.4958 -0.0256 K
-3.4526 -6.9329 3.6453 K
-5.3390 -2.7731 0.9602 Se
-5.6123 -6.5591 1.0660 Se
-2.1288 -4.3376 1.8186 Se
-0.7263 -8.0912 1.8011 Se
2.7572 -5.8697 2.5537 Se
2.4839 -9.6556 2.6595 Se
-1.0663 -1.2450 -0.3268 Tl
-1.7887 -11.1837 3.9465 Tl
-3.9303 -5.0388 -0.0589 Zr
1.0753 -7.3900 3.6786 Zr

***

# 6
KZrTlSe3 GGA-PBE optimized geometry; E = -116.66 eV per cell
1.0
-7.6392 7.0498 -11.6998
-0.0820 -3.4132 -2.0031
-10.4545 -2.7741 5.1546
K Se Tl Zr
4 12 4 4
Cartesian
-7.1059 2.5125 -9.8571 K
-6.1090 -1.7614 -2.6155 K
-12.0666 2.6239 -5.9328 K
-11.0697 -1.6500 1.3088 K
-3.5033 -0.6412 -4.6308 Se
-5.4425 1.0174 -7.3776 Se
-8.7438 5.2773 -10.5899 Se
-6.9201 1.2227 -3.7559 Se
-4.5129 -3.2743 -0.1028 Se
-10.4334 2.0583 -8.9471 Se
-7.7423 -1.1958 0.3988 Se
-13.6628 4.1369 -8.4455 Se
-11.2555 -0.3602 -4.7924 Se
-9.4319 -4.4147 2.0416 Se
-12.7332 -0.1549 -1.1707 Se
-14.6724 1.5038 -3.9175 Se
-2.0062 -2.3897 -1.7128 Tl
-8.3187 0.4738 -6.3336 Tl
-9.8570 0.3888 -2.2147 Tl
-16.1695 3.2522 -6.8355 Tl
-4.6343 1.8092 -4.8487 Zr
-10.9959 4.6596 -9.4453 Zr
-7.1798 -3.7970 0.8969 Zr
-13.5414 -0.9467 -3.6996 Zr

***

Q: Which of these has the highest E?
A: KTmTeSe

***

Q: Among the records above, which one has the highest E?
A: KTmTeSe

***

Q: The lowest E belongs to which entry?
A: K2Tc3Se6

***

Please write out number 2 again, unchanged.
KYTcSe3 GGA-PBE optimized geometry; E = -69.15 eV per cell
1.0
-6.7719 3.0490 2.5158
3.8981 -4.7989 -4.8227
-0.9015 -7.8286 7.0613
K Se Tc Y
2 6 2 2
Cartesian
-4.2992 -0.8926 2.4255 K
0.5240 -8.6859 2.3289 K
2.5251 -4.4056 -3.4108 Se
-0.8545 -3.4262 0.0563 Se
2.2053 -7.1832 -0.9054 Se
-5.9805 -2.3953 5.6598 Se
-2.9207 -6.1523 4.6981 Se
-6.3004 -5.1729 8.1652 Se
3.5208 -6.6443 -2.9529 Tc
-7.2960 -2.9342 7.7073 Tc
-1.4369 -0.8750 -1.1535 Y
-1.8876 -4.7893 2.3772 Y